First-principles (PBE) data for YNb2S5 after structural relaxation, as listed in Alexandria via LeMat-Bulk.

Lattice parameters (Å, degrees): 5.6368 6.5899 6.7169 89.64 65.19 89.15
Sites, in units of the cell vectors:
Nb1 0.2072 0.5000 0.0856
Nb2 0.7928 0.5000 0.9144
Y1 0.5000 0.5000 0.5000
S1 0.0000 0.5000 0.5000
S2 0.4895 0.2576 0.8442
S3 0.8338 0.2576 0.1558
S4 0.1662 0.7424 0.8442
S5 0.5105 0.7424 0.1558

Values from the calculation:
The magnetization is 0.00 μB/atom. The space-group type is C2/m (12). Its uncorrected formation energy is -1.13 eV/atom. The density of states at the Fermi level is 3.1 states/eV per cell.